Entry 1:
# BaScRe SCAN PBEsol geometry
data_BaScRe
_cell_length_a 3.4202
_cell_length_b 3.4202
_cell_length_c 13.0421
_cell_angle_alpha 90.00
_cell_angle_beta 90.00
_cell_angle_gamma 90.00
_space_group_name_H-M_alt 'I 4 m m'
_space_group_IT_number 107
_space_group_name_Hall 'I 4 -2'
loop_
_atom_site_label
_atom_site_type_symbol
_atom_site_fract_x
_atom_site_fract_y
_atom_site_fract_z
_atom_site_occupancy
Ba1 Ba 0.0000 0.0000 0.0000 1
Sc1 Sc 0.0000 0.0000 0.2638 1
Re1 Re 0.0000 0.0000 0.6694 1
# - calculated density (g/cm3) = 8.02
# - Fermi-level density of states (states/eV/cell) = 6.20
# - spin magnetization (μB per cell) = 0.000
# - formation enthalpy at 0 K (kJ/mol of atoms) = 60.12
# - electronic total energy (eV for the cell shown) = -246.03

Entry 2:
# HgH3Cl SCAN PBEsol geometry
data_HgH3Cl
_cell_length_a 3.7896
_cell_length_b 3.7896
_cell_length_c 3.7896
_cell_angle_alpha 90.00
_cell_angle_beta 90.00
_cell_angle_gamma 90.00
_space_group_name_H-M_alt 'P m -3 m'
_space_group_IT_number 221
_space_group_name_Hall '-P 4 2 3'
loop_
_atom_site_label
_atom_site_type_symbol
_atom_site_fract_x
_atom_site_fract_y
_atom_site_fract_z
_atom_site_occupancy
Hg1 Hg 0.0000 0.0000 0.0000 1
H1 H 0.0000 0.0000 0.5000 1
Cl1 Cl 0.5000 0.5000 0.5000 1
# - calculated density (g/cm3) = 7.29
# - Fermi-level density of states (states/eV/cell) = 2.24
# - spin magnetization (μB per cell) = 0.001
# - electronic total energy (eV for the cell shown) = -83.59